Entry from Alexandria: crystalline AcMn3Cr4O12 at its relaxed geometry (PBE+U).

```
AcMn3Cr4O12
1.0
-3.784 3.784 3.784
3.784 -3.784 3.784
3.784 3.784 -3.784
Ac Mn Cr O
1 3 4 12
Cartesian
0.000 0.000 0.000
3.784 0.000 0.000
0.000 3.784 0.000
0.000 0.000 3.784
1.892 1.892 -1.892
1.892 -1.892 1.892
-1.892 1.892 1.892
1.892 1.892 1.892
3.784 2.442 -1.432
2.353 0.000 1.342
5.216 0.000 1.342
1.342 2.353 0.000
2.442 -1.432 3.784
0.000 1.342 2.353
3.784 2.442 1.432
1.342 5.216 0.000
2.442 1.432 3.784
-1.432 3.784 2.442
1.432 3.784 2.442
0.000 1.342 5.216
```

Results
* magnetic moment: 1.200 μB per atom
* space group: Im-3
* raw total energy: -7.8395 eV per atom